Record 1
! Hf2B2AsRu5 | Alexandria | PBE | optimized geometry; values from VASP
! uncorrected energy = -182.0 eV/cell
! calculated volume = 13.423 Å³/atom
&SYSTEM
  ibrav = 0, nat = 20, ntyp = 4
/
ATOMIC_SPECIES
Hf 178.49 Hf.upf
B 10.81 B.upf
As 74.92 As.upf
Ru 101.07 Ru.upf
CELL_PARAMETERS angstrom
9.3620 0.0000 0.0000
0.0000 9.3620 0.0000
0.0000 0.0000 3.0630
ATOMIC_POSITIONS crystal
Hf 0.1751 0.3249 0.0000
Hf 0.3249 0.8249 0.0000
Hf 0.6751 0.1751 0.0000
Hf 0.8249 0.6751 0.0000
B 0.1232 0.6232 0.0000
B 0.3768 0.1232 0.0000
B 0.6232 0.8768 0.0000
B 0.8768 0.3768 0.0000
As 0.0000 0.0000 0.0000
As 0.5000 0.5000 0.0000
Ru 0.0000 0.5000 0.5000
Ru 0.0698 0.7867 0.5000
Ru 0.2133 0.0698 0.5000
Ru 0.2867 0.5698 0.5000
Ru 0.4302 0.2867 0.5000
Ru 0.5000 0.0000 0.5000
Ru 0.5698 0.7133 0.5000
Ru 0.7133 0.4302 0.5000
Ru 0.7867 0.9302 0.5000
Ru 0.9302 0.2133 0.5000

---

Record 2
! Mn2GeB2Rh5 | Alexandria | PBE | optimized geometry; values from VASP
! uncorrected energy = -154.5 eV/cell
! calculated volume = 12.772 Å³/atom
&SYSTEM
  ibrav = 0, nat = 20, ntyp = 4
/
ATOMIC_SPECIES
Mn 54.94 Mn.upf
Ge 72.64 Ge.upf
B 10.81 B.upf
Rh 102.91 Rh.upf
CELL_PARAMETERS angstrom
9.3491 0.0000 0.0000
0.0000 9.3491 0.0000
0.0000 0.0000 2.9224
ATOMIC_POSITIONS crystal
Mn 0.1751 0.3249 0.0000
Mn 0.3249 0.8249 0.0000
Mn 0.6751 0.1751 0.0000
Mn 0.8249 0.6751 0.0000
Ge 0.0000 0.0000 0.0000
Ge 0.5000 0.5000 0.0000
B 0.1258 0.6258 0.0000
B 0.3742 0.1258 0.0000
B 0.6258 0.8742 0.0000
B 0.8742 0.3742 0.0000
Rh 0.0000 0.5000 0.5000
Rh 0.0717 0.7870 0.5000
Rh 0.2130 0.0717 0.5000
Rh 0.2870 0.5717 0.5000
Rh 0.4283 0.2870 0.5000
Rh 0.5000 0.0000 0.5000
Rh 0.5717 0.7130 0.5000
Rh 0.7130 0.4283 0.5000
Rh 0.7870 0.9283 0.5000
Rh 0.9283 0.2130 0.5000

---

Record 3
! Pm5NdTm6 | Alexandria | PBE | optimized geometry; values from VASP
! uncorrected energy = -55.1 eV/cell
! calculated volume = 32.173 Å³/atom
&SYSTEM
  ibrav = 0, nat = 12, ntyp = 3
/
ATOMIC_SPECIES
Pm 145.00 Pm.upf
Nd 144.24 Nd.upf
Tm 168.93 Tm.upf
CELL_PARAMETERS angstrom
-2.5433 4.9803 7.6199
2.5433 -4.9803 7.6199
2.5433 4.9803 -7.6199
ATOMIC_POSITIONS crystal
Pm 0.0000 0.0000 0.0000
Pm 0.1666 0.6666 0.5000
Pm 0.3330 0.3330 0.0000
Pm 0.6670 0.6670 0.0000
Pm 0.8334 0.3334 0.5000
Nd 0.5000 0.0000 0.5000
Tm 0.0831 0.8332 0.2498
Tm 0.2497 0.5000 0.7497
Tm 0.4166 0.1668 0.2498
Tm 0.5834 0.8332 0.7502
Tm 0.7503 0.5000 0.2503
Tm 0.9169 0.1668 0.7502

---

Record 4
! MgZnCdGe2 | Alexandria | PBE | optimized geometry; values from VASP
! uncorrected energy = -9.3 eV/cell
! calculated volume = 28.040 Å³/atom
&SYSTEM
  ibrav = 0, nat = 5, ntyp = 4
/
ATOMIC_SPECIES
Mg 24.30 Mg.upf
Zn 65.41 Zn.upf
Cd 112.41 Cd.upf
Ge 72.64 Ge.upf
CELL_PARAMETERS angstrom
5.1956 0.0000 0.0000
0.0000 5.1956 0.0000
0.0000 0.0000 5.1936
ATOMIC_POSITIONS crystal
Mg 0.0000 0.0000 0.0000
Zn 0.5000 0.5000 0.0000
Cd 0.0000 0.0000 0.5000
Ge 0.0000 0.5000 0.5000
Ge 0.5000 0.0000 0.5000

---

Record 5
! Cd10AgHg6 | Alexandria | PBE | optimized geometry; values from VASP
! uncorrected energy = -13.0 eV/cell
! calculated volume = 23.671 Å³/atom
&SYSTEM
  ibrav = 0, nat = 17, ntyp = 3
/
ATOMIC_SPECIES
Cd 112.41 Cd.upf
Ag 107.87 Ag.upf
Hg 200.59 Hg.upf
CELL_PARAMETERS angstrom
8.8035 0.0000 0.0000
-4.4018 7.6241 0.0000
0.0000 0.0000 5.9955
ATOMIC_POSITIONS crystal
Cd 0.0000 0.2561 0.2050
Cd 0.0000 0.7439 0.7950
Cd 0.2561 0.0000 0.2050
Cd 0.2561 0.2561 0.7950
Cd 0.3333 0.6667 0.0000
Cd 0.3333 0.6667 0.5000
Cd 0.6667 0.3333 0.0000
Cd 0.6667 0.3333 0.5000
Cd 0.7439 0.0000 0.7950
Cd 0.7439 0.7439 0.2050
Ag 0.0000 0.0000 0.5000
Hg 0.0000 0.3858 0.7269
Hg 0.0000 0.6142 0.2731
Hg 0.3858 0.0000 0.7269
Hg 0.3858 0.3858 0.2731
Hg 0.6142 0.0000 0.2731
Hg 0.6142 0.6142 0.7269

---

Record 6
! NaYb3 | Alexandria | PBE | optimized geometry; values from VASP
! uncorrected energy = -11.7 eV/cell
! calculated volume = 37.080 Å³/atom
&SYSTEM
  ibrav = 0, nat = 8, ntyp = 2
/
ATOMIC_SPECIES
Na 22.99 Na.upf
Yb 173.04 Yb.upf
CELL_PARAMETERS angstrom
7.4919 0.0000 0.0000
-3.7460 6.4882 0.0000
0.0000 0.0000 6.1026
ATOMIC_POSITIONS crystal
Na 0.3333 0.6667 0.2500
Na 0.6667 0.3333 0.7500
Yb 0.1651 0.3302 0.7500
Yb 0.1651 0.8349 0.7500
Yb 0.3302 0.1651 0.2500
Yb 0.6698 0.8349 0.7500
Yb 0.8349 0.1651 0.2500
Yb 0.8349 0.6698 0.2500